This record from Alexandria describes an optimized crystal structure of La2CePr6Sm. The functional is PBE-GGA.

Geometry as POSCAR:
```
La2CePr6Sm
1.0
5.8482 -3.5139 0.0000
5.8482 3.5139 0.0000
-2.7005 0.0000 8.7402
La Ce Pr Sm
2 1 6 1
Direct
0.0822 0.0822 0.1661
0.9178 0.9178 0.8339
0.5000 0.5000 0.0000
0.0524 0.5755 0.2003
0.3785 0.3785 0.5869
0.4245 0.9476 0.7997
0.5755 0.0524 0.2003
0.6215 0.6215 0.4131
0.9476 0.4245 0.7997
0.0000 0.0000 0.5000
```

Output
The calculation puts the energy at -47.09 eV per cell. For the formation energy from the elements, the calculation gives 210 meV/atom. As for the crystal system: monoclinic. Its symmetry is C2/m.

***

This record from Alexandria describes an optimized crystal structure of Pm3Ga4Ni2. The functional is PBE-GGA.

Geometry as POSCAR:
```
Pm3Ga4Ni2
1.0
5.3815 -2.1539 0.0000
5.3815 2.1539 0.0000
-3.0481 0.0000 7.9564
Pm Ga Ni
3 4 2
Direct
0.0000 0.0000 0.0000
0.3220 0.3220 0.3568
0.6780 0.6780 0.6432
0.0282 0.0282 0.3591
0.2630 0.2630 0.9170
0.7370 0.7370 0.0830
0.9718 0.9718 0.6409
0.3984 0.3984 0.7314
0.6016 0.6016 0.2686
```

Output
The calculation puts the energy at -43.34 eV per cell. For the formation energy from the elements, the calculation gives -601 meV/atom. As for the energy relative to the lowest polymorph listed for this composition: 0.0 meV/atom. As for the crystal system: monoclinic. Its symmetry is C2/m.

***

This record from Alexandria describes an optimized crystal structure of BeRe2P. The functional is PBE-GGA.

Geometry as POSCAR:
```
BeRe2P
1.0
1.4238 0.8220 7.4136
-1.4238 0.8220 7.4136
0.0000 -1.6440 7.4136
Be Re P
1 2 1
Direct
0.0000 0.0000 0.0000
0.2484 0.2484 0.2484
0.7516 0.7516 0.7516
0.5000 0.5000 0.5000
```

Output
The calculation puts the energy at -33.49 eV per cell. For the formation energy from the elements, the calculation gives 135 meV/atom. As for the energy relative to the lowest polymorph listed for this composition: 409.3 meV/atom. As for the crystal system: trigonal. Its symmetry is R-3m.

***

This record from Alexandria describes an optimized crystal structure of Y2ReAs. The functional is PBE-GGA.

Geometry as POSCAR:
```
Y2ReAs
1.0
-3.8220 3.8220 3.2103
3.8220 -3.8220 3.2103
3.8220 3.8220 -3.2103
Y Re As
4 2 2
Direct
0.1181 0.6250 0.9931
0.3750 0.3681 0.4931
0.6319 0.1250 0.0069
0.8750 0.8819 0.5069
0.0000 0.0000 0.0000
0.7500 0.2500 0.5000
0.2500 0.7500 0.5000
0.5000 0.5000 0.0000
```

Output
The calculation puts the energy at -58.09 eV per cell. For the formation energy from the elements, the calculation gives 245 meV/atom. As for the crystal system: tetragonal. Its symmetry is I-42d.

***

This record from Alexandria describes an optimized crystal structure of CaB6O10. The functional is PBE-GGA.

Geometry as POSCAR:
```
CaB6O10
1.0
9.9433 0.0000 0.0000
0.0000 8.8235 0.0000
-4.1503 0.0000 8.2151
Ca B O
4 24 40
Direct
0.2215 0.1087 0.4636
0.2215 0.3913 0.9636
0.7785 0.6087 0.0364
0.7785 0.8913 0.5364
0.0762 0.7308 0.3760
0.0762 0.7692 0.8760
0.0847 0.0265 0.7635
0.0847 0.4735 0.2635
0.2173 0.5281 0.5594
0.2173 0.9719 0.0594
0.3281 0.5597 0.2557
0.3281 0.9403 0.7557
0.4407 0.1223 0.2776
0.4407 0.3777 0.7776
0.4939 0.2297 0.0564
0.4939 0.2703 0.5564
0.5061 0.7297 0.4436
0.5061 0.7703 0.9436
0.5593 0.6223 0.2224
0.5593 0.8777 0.7224
0.6719 0.0597 0.2443
0.6719 0.4403 0.7443
0.7827 0.0281 0.9406
0.7827 0.4719 0.4406
0.9153 0.5265 0.7365
0.9153 0.9735 0.2365
0.9238 0.2308 0.1240
0.9238 0.2692 0.6240
0.0193 0.6288 0.2485
0.0193 0.8712 0.7485
0.0432 0.6177 0.8512
0.0432 0.8823 0.3512
0.1572 0.0780 0.9339
0.1572 0.4220 0.4339
0.1672 0.6788 0.5312
0.1672 0.8212 0.0312
0.1987 0.0255 0.6990
0.1987 0.4745 0.1990
0.3192 0.0075 0.2150
0.3192 0.4925 0.7150
0.3783 0.6419 0.3993
0.3783 0.8581 0.8993
0.4072 0.5537 0.1659
0.4072 0.9463 0.6659
0.4190 0.2339 0.1507
0.4190 0.2661 0.6507
0.4256 0.1894 0.4158
0.4256 0.3106 0.9158
0.5744 0.6894 0.0842
0.5744 0.8106 0.5842
0.5810 0.7339 0.3493
0.5810 0.7661 0.8493
0.5928 0.0537 0.3341
0.5928 0.4463 0.8341
0.6217 0.1419 0.1007
0.6217 0.3581 0.6007
0.6808 0.5075 0.2850
0.6808 0.9925 0.7850
0.8013 0.5255 0.8010
0.8013 0.9745 0.3010
0.8328 0.1788 0.9688
0.8328 0.3212 0.4688
0.8428 0.5780 0.5661
0.8428 0.9220 0.0661
0.9568 0.1177 0.6488
0.9568 0.3823 0.1488
0.9807 0.1288 0.2515
0.9807 0.3712 0.7515
```

Output
The calculation puts the energy at -540.66 eV per cell. As for the uncorrected formation energy: -2.56 eV/atom. As for the crystal system: monoclinic. Its symmetry is P2_1/c.

***

This record from Alexandria describes an optimized crystal structure of RhBr4. The functional is PBE-GGA.

Geometry as POSCAR:
```
RhBr4
1.0
-3.1804 3.1804 3.1804
3.1804 -3.1804 3.1804
3.1804 3.1804 -3.1804
Rh Br
1 4
Direct
0.0000 0.0000 0.0000
0.0000 0.0000 0.5000
0.0000 0.5000 0.0000
0.5000 0.0000 0.0000
0.5000 0.5000 0.5000
```

Output
The calculation puts the energy at -12.47 eV per cell. As for the uncorrected formation energy: 0.31 eV/atom. As for the crystal system: cubic. Its symmetry is Im-3m.

***

This record from Alexandria describes an optimized crystal structure of PrDyZn2. The functional is PBE-GGA.

Geometry as POSCAR:
```
PrDyZn2
1.0
1.8294 1.0562 9.1003
-1.8294 1.0562 9.1003
0.0000 -2.1125 9.1003
Pr Dy Zn
1 1 2
Direct
0.0000 0.0000 0.0000
0.5000 0.5000 0.5000
0.2462 0.2462 0.2462
0.7538 0.7538 0.7538
```

Output
The calculation puts the energy at -12.31 eV per cell. For the formation energy from the elements, the calculation gives -95 meV/atom. As for the energy relative to the lowest polymorph listed for this composition: 221.6 meV/atom. As for the crystal system: trigonal. Its symmetry is R-3m.

***

This record from Alexandria describes an optimized crystal structure of Dy6In5Pb. The functional is PBE-GGA.

Geometry as POSCAR:
```
Dy6In5Pb
1.0
8.2593 -3.5122 0.0000
8.2593 3.5122 0.0000
-0.7192 0.0000 5.5289
Dy In Pb
6 5 1
Direct
0.0821 0.5834 0.3348
0.2489 0.7511 0.0000
0.4166 0.9179 0.6652
0.5834 0.0821 0.3348
0.7511 0.2489 0.0000
0.9179 0.4166 0.6652
0.0000 0.0000 0.5000
0.1669 0.1669 0.1658
0.3314 0.3314 0.8393
0.6686 0.6686 0.1607
0.8331 0.8331 0.8342
0.5000 0.5000 0.5000
```

Output
The calculation puts the energy at -50.51 eV per cell. For the formation energy from the elements, the calculation gives -458 meV/atom. As for the energy relative to the lowest polymorph listed for this composition: 0.0 meV/atom. As for the crystal system: monoclinic. Its symmetry is C2/m.

***

This record from Alexandria describes an optimized crystal structure of AlPCl2. The functional is PBE-GGA.

Geometry as POSCAR:
```
AlPCl2
1.0
-1.6637 2.4912 6.6327
1.6637 -2.4912 6.6327
1.6637 2.4912 -6.6327
Al P Cl
1 1 2
Direct
0.0000 0.0000 0.0000
0.8738 0.3738 0.5000
0.1291 0.6291 0.5000
0.4215 0.4215 0.0000
```

Output
The calculation puts the energy at -14.41 eV per cell. As for the uncorrected formation energy: -0.39 eV/atom. As for the energy relative to the lowest polymorph listed for this composition: 254.4 meV/atom. As for the crystal system: orthorhombic. Its symmetry is Imm2.

***

This record from Alexandria describes an optimized crystal structure of Be3SiI. The functional is PBE-GGA.

Geometry as POSCAR:
```
Be3SiI
1.0
4.6752 0.0000 0.0000
0.0000 4.6752 0.0000
0.0000 0.0000 4.6752
Be Si I
3 1 1
Direct
0.0000 0.0000 0.5000
0.0000 0.5000 0.0000
0.5000 0.0000 0.0000
0.5000 0.5000 0.5000
0.0000 0.0000 0.0000
```

Output
The calculation puts the energy at -8.91 eV per cell. As for the uncorrected formation energy: 1.85 eV/atom. As for the energy relative to the lowest polymorph listed for this composition: 1104.2 meV/atom. As for the crystal system: cubic. Its symmetry is Pm-3m.

***

This record from Alexandria describes an optimized crystal structure of ErNp2PdS5. The functional is PBE-GGA.

Geometry as POSCAR:
```
ErNp2PdS5
1.0
1.8920 -8.1116 0.0000
1.8920 8.1116 0.0000
0.0000 0.0000 11.7600
Er Np Pd S
2 4 2 10
Direct
0.1780 0.8220 0.5000
0.8220 0.1780 0.0000
0.1073 0.8927 0.8256
0.1202 0.8798 0.1711
0.8798 0.1202 0.6711
0.8927 0.1073 0.3256
0.4447 0.5553 0.8954
0.5553 0.4447 0.3954
0.0064 0.9936 0.4996
0.3043 0.6957 0.8276
0.3048 0.6952 0.1640
0.3433 0.6567 0.4963
0.4955 0.5045 0.2152
0.5045 0.4955 0.7152
0.6567 0.3433 0.9963
0.6952 0.3048 0.6640
0.6957 0.3043 0.3276
0.9936 0.0064 0.9996
```

Output
The calculation puts the energy at -136.96 eV per cell. As for the uncorrected formation energy: -1.36 eV/atom. As for the crystal system: orthorhombic. Its symmetry is Cmc2_1.

***

This record from Alexandria describes an optimized crystal structure of TbHgBiAu. The functional is PBE-GGA.

Geometry as POSCAR:
```
TbHgBiAu
1.0
0.0000 3.6841 3.6841
3.6841 0.0000 3.6841
3.6841 3.6841 0.0000
Tb Hg Bi Au
1 1 1 1
Direct
0.0000 0.0000 0.0000
0.2500 0.2500 0.2500
0.5000 0.5000 0.5000
0.7500 0.7500 0.7500
```

Output
The calculation puts the energy at -13.73 eV per cell. For the formation energy from the elements, the calculation gives -410 meV/atom. As for the crystal system: cubic. Its symmetry is F-43m.

***

no.,density (g cm⁻³)
1,6.54
2,7.48
3,13.15
4,7.77
5,2.44
6,5.45
7,6.83
8,9.09
9,1.95
10,2.96
11,8.35
12,12.71